# RbYPdSe3 | the Open Quantum Materials Database | PBE-GGA | relaxed
# E ... -60.08 eV for the cell shown
data_RbYPdSe3
_cell_length_a 9.134
_cell_length_b 4.174
_cell_length_c 9.988
_cell_angle_alpha 90.00
_cell_angle_beta 111.10
_cell_angle_gamma 90.00
_space_group_name_H-M_alt 'P 1'
_space_group_IT_number 1
loop_
_space_group_symop_operation_xyz
'x,y,z'
loop_
_atom_site_label
_atom_site_type_symbol
_atom_site_fract_x
_atom_site_fract_y
_atom_site_fract_z
Rb1 Rb 0.218 0.250 0.244
Rb2 Rb 0.782 0.750 0.756
Y1 Y 0.320 0.750 0.860
Y2 Y 0.680 0.250 0.140
Pd1 Pd 0.089 0.250 0.592
Pd2 Pd 0.911 0.750 0.408
Se1 Se 0.105 0.250 0.859
Se2 Se 0.207 0.750 0.541
Se3 Se 0.470 0.750 0.161
Se4 Se 0.530 0.250 0.839
Se5 Se 0.793 0.250 0.459
Se6 Se 0.895 0.750 0.141